Entry 1:
6
Lattice="6.0284 0.0000 0.0000 -3.0142 5.2208 0.0000 0.0000 0.0000 7.8088" Properties=species:S:1:pos:R:3 comment="PBE K2Be, relaxed" space_group="No. 194" polymorph_energy_ev_per_atom=0.338 magmom_total_mub_per_fu=0.00 final_energy_ev_per_atom=-1.177 formation_energy_ev_per_atom=0.797 pbc="T T T"
K 0.0000 0.0000 0.0000
K 0.0000 0.0000 3.9044
K 0.0000 3.4805 1.9522
K 3.0142 1.7403 5.8566
Be 0.0000 3.4805 5.8566
Be 3.0142 1.7403 1.9522

Entry 2:
4
Lattice="3.2626 0.0000 0.0000 0.0000 4.5785 0.0000 0.0000 0.0000 4.5852" Properties=species:S:1:pos:R:3 comment="PBE In2CuRh, relaxed" space_group="No. 25" magmom_total_mub_per_fu=0.00 final_energy_ev_per_atom=-4.387 formation_energy_ev_per_atom=-0.156 pbc="T T T"
In 0.0000 0.0000 0.0000
In 0.0000 2.2892 2.2305
Cu 1.6313 0.0000 2.3141
Rh 1.6313 2.2892 4.5043

Entry 3:
5
Lattice="5.9009 0.0000 0.0000 0.0000 5.9009 0.0000 0.0000 0.0000 5.2904" Properties=species:S:1:pos:R:3 comment="PBE RbNa2MgGe, relaxed" space_group="No. 123" magmom_total_mub_per_fu=0.00 final_energy_ev_per_atom=-1.965 formation_energy_ev_per_atom=-0.002 pbc="T T T"
Rb 0.0000 0.0000 0.0000
Na 0.0000 2.9505 2.6452
Na 2.9505 0.0000 2.6452
Mg 2.9505 2.9505 0.0000
Ge 2.9505 2.9505 2.6452